# Dy3HoFe, relaxed, DFT PBE
# Formation energy from the elements, eV/atom: 0.13
# Calculated volume, Å³/f.u.: 145
# Calculated total energy, eV per atom: -5.24
# N(E_F), states/eV/atom: 1.586
data_Dy3HoFe
_chemical_formula_sum 'Dy3 Ho1 Fe1'
_cell_length_a 5.256
_cell_length_b 5.256
_cell_length_c 5.256
_cell_angle_alpha 90.00
_cell_angle_beta 90.00
_cell_angle_gamma 90.00
_space_group_name_H-M_alt 'P m -3 m'
_space_group_IT_number 221
_space_group_name_Hall '-P 4 2 3'
loop_
_atom_site_label
_atom_site_fract_x
_atom_site_fract_y
_atom_site_fract_z
Dy1 0.000 0.000 0.500
Ho1 0.500 0.500 0.500
Fe1 0.000 0.000 0.000

---

# DyHoFe, relaxed, DFT PBE
# Formation energy from the elements, eV/atom: 0.06
# Calculated volume, Å³/f.u.: 73
# Calculated total energy, eV per atom: -5.83
# N(E_F), states/eV/atom: 1.101
data_DyHoFe
_chemical_formula_sum 'Dy8 Ho8 Fe8'
_cell_length_a 6.803
_cell_length_b 11.821
_cell_length_c 7.311
_cell_angle_alpha 90.00
_cell_angle_beta 90.00
_cell_angle_gamma 90.00
_space_group_name_H-M_alt 'C m c e'
_space_group_IT_number 64
_space_group_name_Hall '-C 2ac 2'
loop_
_atom_site_label
_atom_site_fract_x
_atom_site_fract_y
_atom_site_fract_z
Dy1 0.000 0.197 0.113
Ho1 0.250 0.045 0.750
Fe1 0.000 0.093 0.456

---

> calculated total energy of number 1 (Dy3HoFe)?

-5.24 eV per atom

---

> Which value of calculated volume does entry 2 give?

73 Å³/f.u.

---

> What is the N(E_F) in the second record?

1.101 states/eV/atom

---

Copy entry 2 word for word.
# DyHoFe, relaxed, DFT PBE
# Formation energy from the elements, eV/atom: 0.06
# Calculated volume, Å³/f.u.: 73
# Calculated total energy, eV per atom: -5.83
# N(E_F), states/eV/atom: 1.101
data_DyHoFe
_chemical_formula_sum 'Dy8 Ho8 Fe8'
_cell_length_a 6.803
_cell_length_b 11.821
_cell_length_c 7.311
_cell_angle_alpha 90.00
_cell_angle_beta 90.00
_cell_angle_gamma 90.00
_space_group_name_H-M_alt 'C m c e'
_space_group_IT_number 64
_space_group_name_Hall '-C 2ac 2'
loop_
_atom_site_label
_atom_site_fract_x
_atom_site_fract_y
_atom_site_fract_z
Dy1 0.000 0.197 0.113
Ho1 0.250 0.045 0.750
Fe1 0.000 0.093 0.456